Computed, not measured: a relaxed BaTaCoO5 crystal at the PBE with a Hubbard U level of DFT.

The space group is C2/c (No. 15) and the conventional cell measures 7.0049, 9.6669 and 7.6181 Å, with angles of 90.00, 112.38 and 90.00 degrees. The asymmetric unit holds Ba at (0.0000, 0.1702, 0.2500), Ta at (0.0000, 0.5000, 0.0000), Co at (0.0000, 0.1841, 0.7500), O at (0.0000, 0.4457, 0.2500), O at (0.0809, 0.3058, 0.5961) and O at (0.2005, 0.0618, 0.9093).

The value obtained for the total energy is -249.32 eV/cell. As for the volume: 14.91 Å³/atom.